Run one
Entry from OQMD: a relaxed ScGeAuS3 crystal (GGA-PBE).

Cell: 11.3393 3.6882 12.1030 Å, 90.00 90.00 90.00°
Last column: nearest neighbours and their distance in Å.
Atoms (fractional coordinates):
Sc (0.0175, 0.2500, 0.1487)  6 S 2.59-2.63
Sc (0.4825, 0.7500, 0.6487)  6 S 2.59-2.63
Sc (0.5175, 0.2500, 0.3513)  6 S 2.59-2.63
Sc (0.9825, 0.7500, 0.8513)  6 S 2.59-2.63
Ge (0.1700, 0.2500, 0.5852)  3 S 2.45-2.48
Ge (0.3300, 0.7500, 0.0852)  3 S 2.45-2.48
Ge (0.6700, 0.2500, 0.9148)  3 S 2.45-2.48
Ge (0.8300, 0.7500, 0.4148)  3 S 2.45-2.48
Au (0.1903, 0.7500, 0.4024)  2 S 2.36-2.38
Au (0.3097, 0.2500, 0.9024)  2 S 2.36-2.38
Au (0.6903, 0.7500, 0.0976)  2 S 2.36-2.38
Au (0.8097, 0.2500, 0.5976)  2 S 2.36-2.38
S (0.0105, 0.7500, 0.3037)  1 Au 2.36, 1 Ge 2.45, 2 Sc 2.63
S (0.1053, 0.2500, 0.9481)  1 Au 2.38, 3 Sc 2.59-2.62
S (0.2426, 0.2500, 0.1949)  2 Ge 2.48, 1 Sc 2.61
S (0.2574, 0.7500, 0.6949)  2 Ge 2.48, 1 Sc 2.61
S (0.3947, 0.7500, 0.4481)  1 Au 2.38, 3 Sc 2.59-2.62
S (0.4895, 0.2500, 0.8037)  1 Au 2.36, 1 Ge 2.45, 2 Sc 2.63
S (0.5105, 0.7500, 0.1963)  1 Au 2.36, 1 Ge 2.45, 2 Sc 2.63
S (0.6053, 0.2500, 0.5519)  1 Au 2.38, 3 Sc 2.59-2.62
S (0.7426, 0.2500, 0.3051)  2 Ge 2.48, 1 Sc 2.61
S (0.7574, 0.7500, 0.8051)  2 Ge 2.48, 1 Sc 2.61
S (0.8947, 0.7500, 0.0519)  1 Au 2.38, 3 Sc 2.59-2.62
S (0.9895, 0.2500, 0.6963)  1 Au 2.36, 1 Ge 2.45, 2 Sc 2.63

Summary:
**Crystal system**: orthorhombic
**Spin magnetization**: 0.001 μB per atom
**Theoretical density**: 5.4 Mg/m³
**Space-group type**: Pnma, No. 62

Run two
Entry from OQMD: a relaxed ScGeAuS3 crystal (GGA-PBE).

Cell: 7.0742 7.0742 9.9305 Å, 90.00 90.00 149.31°
Last column: nearest neighbours and their distance in Å.
Atoms (fractional coordinates):
Sc (0.0000, 0.0000, 0.0000)  6 S 2.59-2.60
Sc (0.0000, 0.0000, 0.5000)  6 S 2.59-2.60
Ge (0.3191, 0.6809, 0.7500)  4 S 2.53-2.74
Ge (0.6809, 0.3191, 0.2500)  4 S 2.53-2.74
Au (0.3378, 0.6622, 0.2500)  2 S 2.35
Au (0.6622, 0.3378, 0.7500)  2 S 2.35
S (0.0566, 0.9434, 0.2500)  2 Ge 2.53, 2 Sc 2.60
S (0.3692, 0.6308, 0.0171)  1 Au 2.35, 2 Sc 2.59
S (0.3692, 0.6308, 0.4829)  1 Au 2.35, 2 Sc 2.59
S (0.6308, 0.3692, 0.5171)  1 Au 2.35, 2 Sc 2.59
S (0.6308, 0.3692, 0.9829)  1 Au 2.35, 2 Sc 2.59
S (0.9434, 0.0566, 0.7500)  2 Ge 2.53, 2 Sc 2.60

Summary:
**Crystal system**: orthorhombic
**Spin magnetization**: 0.001 μB per atom
**Theoretical density**: 5.4 Mg/m³
**Space-group type**: Cmcm, No. 63

It comes down to run two, which is 32 meV per atom more stable than the next structure.

Run one
Entry from OQMD: a relaxed YGeAuS3 crystal (GGA-PBE).

Cell: 7.2004 7.2004 10.0804 Å, 90.00 90.00 147.87°
Last column: nearest neighbours and their distance in Å.
Atoms (fractional coordinates):
Y (0.0000, 0.0000, 0.0000)  6 S 2.72-2.75
Y (0.0000, 0.0000, 0.5000)  6 S 2.72-2.75
Ge (0.3102, 0.6898, 0.7500)  4 S 2.55-2.82
Ge (0.6898, 0.3102, 0.2500)  4 S 2.55-2.82
Au (0.3420, 0.6580, 0.2500)  2 S 2.35
Au (0.6580, 0.3420, 0.7500)  2 S 2.35
S (0.0744, 0.9256, 0.2500)  2 Ge 2.55, 2 Y 2.72
S (0.3643, 0.6357, 0.0194)  1 Au 2.35
S (0.3643, 0.6357, 0.4806)  1 Au 2.35
S (0.6357, 0.3643, 0.5194)  1 Au 2.35
S (0.6357, 0.3643, 0.9806)  1 Au 2.35
S (0.9256, 0.0744, 0.7500)  2 Ge 2.55, 2 Y 2.72

Summary:
**Crystal system**: orthorhombic
**Spin magnetization**: 0.002 μB per atom
**Theoretical density**: 5.4 Mg/m³
**Space-group type**: Cmcm, No. 63

Run two
Entry from OQMD: a relaxed YGeAuS3 crystal (GGA-PBE).

Cell: 11.3416 3.9742 12.1911 Å, 90.00 90.00 90.00°
Last column: nearest neighbours and their distance in Å.
Atoms (fractional coordinates):
Y (0.0075, 0.2500, 0.1638)  6 S 2.75-2.83
Y (0.4925, 0.7500, 0.6638)  6 S 2.75-2.83
Y (0.5075, 0.2500, 0.3362)  6 S 2.75-2.83
Y (0.9925, 0.7500, 0.8362)  6 S 2.75-2.83
Ge (0.1784, 0.2500, 0.5825)  3 S 2.44-2.57
Ge (0.3216, 0.7500, 0.0825)  3 S 2.44-2.57
Ge (0.6784, 0.2500, 0.9175)  3 S 2.44-2.57
Ge (0.8216, 0.7500, 0.4175)  3 S 2.44-2.57
Au (0.1939, 0.7500, 0.4061)  2 S 2.33-2.35
Au (0.3061, 0.2500, 0.9061)  2 S 2.33-2.35
Au (0.6939, 0.7500, 0.0939)  2 S 2.33-2.35
Au (0.8061, 0.2500, 0.5939)  2 S 2.33-2.35
S (0.0101, 0.7500, 0.3212)  1 Au 2.33, 1 Ge 2.44
S (0.1046, 0.2500, 0.9520)  1 Au 2.35
S (0.2457, 0.7500, 0.7002)  2 Ge 2.57, 1 Y 2.83
S (0.2543, 0.2500, 0.2002)  2 Ge 2.57, 1 Y 2.83
S (0.3954, 0.7500, 0.4520)  1 Au 2.35
S (0.4899, 0.2500, 0.8212)  1 Au 2.33, 1 Ge 2.44
S (0.5101, 0.7500, 0.1788)  1 Au 2.33, 1 Ge 2.44
S (0.6046, 0.2500, 0.5480)  1 Au 2.35
S (0.7457, 0.7500, 0.7998)  2 Ge 2.57, 1 Y 2.83
S (0.7543, 0.2500, 0.2998)  2 Ge 2.57, 1 Y 2.83
S (0.8954, 0.7500, 0.0480)  1 Au 2.35
S (0.9899, 0.2500, 0.6788)  1 Au 2.33, 1 Ge 2.44

Summary:
**Crystal system**: orthorhombic
**Spin magnetization**: 0.000 μB per atom
**Theoretical density**: 5.5 Mg/m³
**Space-group type**: Pnma, No. 62

It comes down to run two, which is 6 meV per atom more stable than the next structure.

Run one
Entry from OQMD: a relaxed Y2SiGeAu2 crystal (GGA-PBE).

Cell: 4.4097 4.4097 7.4672 Å, 90.00 90.00 120.00°
Last column: nearest neighbours and their distance in Å.
Atoms (fractional coordinates):
Y (0.0000, 0.0000, 0.0000)  3 Si 3.01, 6 Au 3.02-3.24, 3 Ge 3.35
Y (0.0000, 0.0000, 0.4983)  3 Ge 2.99, 6 Au 3.07-3.31, 3 Si 3.31
Si (0.6667, 0.3333, 0.2147)  3 Au 2.58
Ge (0.3333, 0.6667, 0.7085)  3 Au 2.60
Au (0.3333, 0.6667, 0.2687)  3 Si 2.58
Au (0.6667, 0.3333, 0.7823)  3 Ge 2.60

Summary:
**Crystal system**: trigonal
**Spin magnetization**: 0.002 μB per atom
**Theoretical density**: 8.9 Mg/m³
**Space-group type**: P3m1, No. 156

Run two
Entry from OQMD: a relaxed Y2SiGeAu2 crystal (GGA-PBE).

Cell: 4.3583 4.3583 7.7594 Å, 90.00 90.00 120.00°
Last column: nearest neighbours and their distance in Å.
Atoms (fractional coordinates):
Y (0.0000, 0.0000, 0.2480)  6 Au 3.17-3.19, 3 Si 3.17, 3 Ge 3.19
Y (0.0000, 0.0000, 0.7520)  3 Si 3.17, 6 Au 3.17-3.19, 3 Ge 3.19
Si (0.6667, 0.3333, 0.0000)  3 Au 2.52
Ge (0.3333, 0.6667, 0.5000)  3 Au 2.52
Au (0.3333, 0.6667, 0.0000)  3 Si 2.52
Au (0.6667, 0.3333, 0.5000)  3 Ge 2.52

Summary:
**Crystal system**: hexagonal
**Spin magnetization**: 0.003 μB per atom
**Theoretical density**: 8.7 Mg/m³
**Space-group type**: P-6m2, No. 187

Run three
Entry from OQMD: a relaxed Y2SiGeAu2 crystal (GGA-PBE).

Cell: 11.2642 4.6014 11.2676 Å, 90.00 109.46 90.00°
Last column: nearest neighbours and their distance in Å.
Atoms (fractional coordinates):
Y (0.0000, 0.0000, 0.0000)  4 Au 2.83-2.86
Y (0.1209, 0.5000, 0.3709)  4 Au 2.80-2.83
Y (0.2475, 0.0000, 0.7461)  4 Au 2.82-2.84
Y (0.3752, 0.5000, 0.1249)  4 Au 2.81-2.83
Y (0.5004, 0.0000, 0.5015)  4 Au 2.83-2.84
Y (0.6232, 0.5000, 0.8744)  4 Au 2.78-2.79
Y (0.7453, 0.0000, 0.2503)  4 Au 2.79-2.84
Y (0.8740, 0.5000, 0.6280)  4 Au 2.79-2.82
Si (0.4983, 0.0000, 0.9990)  4 Au 2.76-2.81
Si (0.7490, 0.0000, 0.7510)  4 Au 2.79-2.81
Si (0.8723, 0.5000, 0.1243)  4 Au 2.78-2.79
Si (0.9974, 0.0000, 0.4986)  4 Au 2.77-2.80
Ge (0.1241, 0.5000, 0.8740)  4 Au 2.83-2.86
Ge (0.2482, 0.0000, 0.2491)  4 Au 2.82-2.88
Ge (0.3729, 0.5000, 0.6241)  4 Au 2.81-2.85
Ge (0.6240, 0.5000, 0.3757)  4 Au 2.82-2.87
Au (0.1187, 0.5000, 0.6186)  2 Si 2.79, 4 Y 2.79-2.84, 2 Ge 2.84-2.86
Au (0.2534, 0.0000, 0.9981)  1 Si 2.76, 4 Y 2.81-2.86, 3 Ge 2.83-2.85
Au (0.3735, 0.5000, 0.3752)  4 Ge 2.81-2.82, 4 Y 2.83
Au (0.5015, 0.0000, 0.7533)  2 Si 2.78-2.80, 4 Y 2.79-2.84, 2 Ge 2.85
Au (0.6240, 0.5000, 0.1210)  4 Y 2.78-2.82, 3 Si 2.79-2.81, 1 Ge 2.87
Au (0.7533, 0.0000, 0.5047)  2 Si 2.77-2.79, 4 Y 2.79-2.84, 2 Ge 2.85
Au (0.8709, 0.5000, 0.8772)  3 Si 2.78-2.81, 4 Y 2.78-2.83, 1 Ge 2.86
Au (0.9920, 0.0000, 0.2481)  4 Y 2.79-2.83, 3 Si 2.79-2.80, 1 Ge 2.88

Summary:
**Crystal system**: monoclinic
**Spin magnetization**: 0.001 μB per atom
**Theoretical density**: 8.1 Mg/m³
**Space-group type**: Pm, No. 6

It comes down to run one, which is 18 meV per atom more stable than the next structure.

Run one
Entry from OQMD: a relaxed SmGeTe3Au crystal (GGA-PBE).

Cell: 7.7671 7.7671 11.4459 Å, 90.00 90.00 148.73°
Last column: nearest neighbours and their distance in Å.
Atoms (fractional coordinates):
Sm (0.0000, 0.0000, 0.0000)  6 Te 3.16-3.18
Sm (0.0000, 0.0000, 0.5000)  6 Te 3.16-3.18
Ge (0.1778, 0.8222, 0.7500)  2 Au 3.01, 4 Te 3.06
Ge (0.8222, 0.1778, 0.2500)  2 Au 3.01, 4 Te 3.06
Te (0.0926, 0.9074, 0.2500)  2 Au 2.81
Te (0.3481, 0.6519, 0.0584)  1 Au 2.82, 2 Ge 3.06, 2 Sm 3.16
Te (0.3481, 0.6519, 0.4416)  1 Au 2.82, 2 Ge 3.06, 2 Sm 3.16
Te (0.6519, 0.3481, 0.5584)  1 Au 2.82, 2 Ge 3.06, 2 Sm 3.16
Te (0.6519, 0.3481, 0.9416)  1 Au 2.82, 2 Ge 3.06, 2 Sm 3.16
Te (0.9074, 0.0926, 0.7500)  2 Au 2.81
Au (0.4671, 0.5329, 0.2500)  4 Te 2.81-2.82, 2 Ge 3.01
Au (0.5329, 0.4671, 0.7500)  4 Te 2.81-2.82, 2 Ge 3.01

Summary:
**Crystal system**: orthorhombic
**Spin magnetization**: 0.000 μB per atom
**Theoretical density**: 7.4 Mg/m³
**Space-group type**: Cmcm, No. 63

Run two
Entry from OQMD: a relaxed SmGeTe3Au crystal (GGA-PBE).

Cell: 13.2805 4.4723 12.3544 Å, 90.00 90.00 90.00°
Last column: nearest neighbours and their distance in Å.
Atoms (fractional coordinates):
Sm (0.0324, 0.2500, 0.2003)  6 Te 3.10-3.33, 2 Au 3.24
Sm (0.4676, 0.7500, 0.7003)  6 Te 3.10-3.33, 2 Au 3.24
Sm (0.5324, 0.2500, 0.2997)  6 Te 3.10-3.33, 2 Au 3.24
Sm (0.9676, 0.7500, 0.7997)  6 Te 3.10-3.33, 2 Au 3.24
Ge (0.2350, 0.7500, 0.8943)  3 Te 2.82-2.97, 2 Au 3.10
Ge (0.2650, 0.2500, 0.3943)  3 Te 2.82-2.97, 2 Au 3.10
Ge (0.7350, 0.7500, 0.6057)  3 Te 2.82-2.97, 2 Au 3.10
Ge (0.7650, 0.2500, 0.1057)  3 Te 2.82-2.97, 2 Au 3.10
Te (0.0503, 0.7500, 0.3729)  1 Au 2.70
Te (0.0957, 0.2500, 0.9443)  2 Ge 2.97, 1 Sm 3.27
Te (0.1879, 0.7500, 0.6715)  2 Au 2.75, 1 Ge 2.82
Te (0.3121, 0.2500, 0.1715)  2 Au 2.75, 1 Ge 2.82
Te (0.4043, 0.7500, 0.4443)  2 Ge 2.97, 1 Sm 3.27
Te (0.4497, 0.2500, 0.8729)  1 Au 2.70
Te (0.5503, 0.7500, 0.1271)  1 Au 2.70
Te (0.5957, 0.2500, 0.5557)  2 Ge 2.97, 1 Sm 3.27
Te (0.6879, 0.7500, 0.8285)  2 Au 2.75, 1 Ge 2.82
Te (0.8121, 0.2500, 0.3285)  2 Au 2.75, 1 Ge 2.82
Te (0.9043, 0.7500, 0.0557)  2 Ge 2.97, 1 Sm 3.27
Te (0.9497, 0.2500, 0.6271)  1 Au 2.70
Au (0.2065, 0.7500, 0.2328)  3 Te 2.70-2.75
Au (0.2935, 0.2500, 0.7328)  3 Te 2.70-2.75
Au (0.7065, 0.7500, 0.2672)  3 Te 2.70-2.75
Au (0.7935, 0.2500, 0.7672)  3 Te 2.70-2.75

Summary:
**Crystal system**: orthorhombic
**Spin magnetization**: 0.000 μB per atom
**Theoretical density**: 7.3 Mg/m³
**Space-group type**: Pnma, No. 62

It comes down to run two, which is 7 meV per atom more stable than the next structure.

Run one
Entry from OQMD: a relaxed TcGe2Au2 crystal (GGA-PBE).

Cell: 6.7487 6.7487 6.7487 Å, 147.03 147.03 47.31°
Last column: nearest neighbours and their distance in Å.
Atoms (fractional coordinates):
Tc (0.0000, 0.0000, 0.0000)  8 Au 3.00
Ge (0.2500, 0.7500, 0.5000)  4 Au 2.63, 4 Ge 2.71
Ge (0.7500, 0.2500, 0.5000)  4 Au 2.63, 4 Ge 2.71
Au (0.3953, 0.3953, 0.0000)  1 Au 2.59, 4 Ge 2.63
Au (0.6047, 0.6047, 0.0000)  1 Au 2.59, 4 Ge 2.63

Summary:
**Crystal system**: tetragonal
**Spin magnetization**: 0.603 μB per atom
**Theoretical density**: 11.7 Mg/m³
**Space-group type**: I4/mmm, No. 139

Run two
Entry from OQMD: a relaxed TcGe2Au2 crystal (GGA-PBE).

Cell: 6.7610 6.7610 6.7610 Å, 147.13 147.13 47.17°
Last column: nearest neighbours and their distance in Å.
Atoms (fractional coordinates):
Tc (0.0000, 0.0000, 0.0000)  8 Ge 2.96
Ge (0.4037, 0.4037, 0.0000)  1 Ge 2.39
Ge (0.5963, 0.5963, 0.0000)  1 Ge 2.39
Au (0.2500, 0.7500, 0.5000)  4 Ge 2.70, 4 Au 2.71
Au (0.7500, 0.2500, 0.5000)  4 Ge 2.70, 4 Au 2.71

Summary:
**Crystal system**: tetragonal
**Spin magnetization**: 0.413 μB per atom
**Theoretical density**: 11.7 Mg/m³
**Space-group type**: I4/mmm, No. 139

It comes down to run two, which is 67 meV per atom more stable than the next structure.

Run one
Entry from OQMD: a relaxed TlGeTe3Au crystal (GGA-PBE).

Cell: 12.0062 4.3842 13.0754 Å, 90.00 90.00 90.00°
Last column: nearest neighbours and their distance in Å.
Atoms (fractional coordinates):
Tl (0.2482, 0.2500, 0.0267)  2 Au 3.09, 3 Te 3.33-3.42
Tl (0.2518, 0.7500, 0.5267)  2 Au 3.09, 3 Te 3.33-3.42
Tl (0.7482, 0.2500, 0.4733)  2 Au 3.09, 3 Te 3.33-3.42
Tl (0.7518, 0.7500, 0.9733)  2 Au 3.09, 3 Te 3.33-3.42
Ge (0.0149, 0.2500, 0.7452)  5 Te 2.76-3.03
Ge (0.4851, 0.7500, 0.2452)  5 Te 2.76-3.03
Ge (0.5149, 0.2500, 0.7548)  5 Te 2.76-3.03
Ge (0.9851, 0.7500, 0.2548)  5 Te 2.76-3.03
Te (0.0251, 0.2500, 0.3971)  1 Au 2.73, 2 Ge 2.92
Te (0.0264, 0.7500, 0.9045)  1 Au 2.76, 2 Ge 3.03
Te (0.2426, 0.2500, 0.7184)  1 Ge 2.76, 2 Au 2.87
Te (0.2574, 0.7500, 0.2184)  1 Ge 2.76, 2 Au 2.87
Te (0.4736, 0.2500, 0.4045)  1 Au 2.76, 2 Ge 3.03
Te (0.4749, 0.7500, 0.8971)  1 Au 2.73, 2 Ge 2.92
Te (0.5251, 0.2500, 0.1029)  1 Au 2.73, 2 Ge 2.92
Te (0.5264, 0.7500, 0.5955)  1 Au 2.76, 2 Ge 3.03
Te (0.7426, 0.2500, 0.7816)  1 Ge 2.76, 2 Au 2.87
Te (0.7574, 0.7500, 0.2816)  1 Ge 2.76, 2 Au 2.87
Te (0.9736, 0.2500, 0.0955)  1 Au 2.76, 2 Ge 3.03
Te (0.9749, 0.7500, 0.6029)  1 Au 2.73, 2 Ge 2.92
Au (0.2487, 0.2500, 0.3603)  4 Te 2.73-2.87
Au (0.2513, 0.7500, 0.8603)  4 Te 2.73-2.87
Au (0.7487, 0.2500, 0.1397)  4 Te 2.73-2.87
Au (0.7513, 0.7500, 0.6397)  4 Te 2.73-2.87

Summary:
**Crystal system**: orthorhombic
**Theoretical density**: 8.3 Mg/m³
**Space-group type**: Pnma, No. 62

Run two
Entry from OQMD: a relaxed TlGeTe3Au crystal (GGA-PBE).

Cell: 7.7398 7.7398 11.6834 Å, 90.00 90.00 150.42°
Last column: nearest neighbours and their distance in Å.
Atoms (fractional coordinates):
Tl (0.2245, 0.7755, 0.7500)  2 Au 3.05, 2 Te 3.41
Tl (0.7755, 0.2245, 0.2500)  2 Au 3.05, 2 Te 3.41
Ge (0.5000, 0.5000, 0.0000)  6 Te 2.90-2.95
Ge (0.5000, 0.5000, 0.5000)  6 Te 2.90-2.95
Te (0.1408, 0.8592, 0.0211)  1 Au 2.69, 2 Ge 2.90
Te (0.1408, 0.8592, 0.4789)  1 Au 2.69, 2 Ge 2.90
Te (0.4745, 0.5255, 0.2500)  2 Au 2.94, 2 Ge 2.95
Te (0.5255, 0.4745, 0.7500)  2 Au 2.94, 2 Ge 2.95
Te (0.8592, 0.1408, 0.5211)  1 Au 2.69, 2 Ge 2.90
Te (0.8592, 0.1408, 0.9789)  1 Au 2.69, 2 Ge 2.90
Au (0.1201, 0.8799, 0.2500)  4 Te 2.69-2.94
Au (0.8799, 0.1201, 0.7500)  4 Te 2.69-2.94

Summary:
**Crystal system**: orthorhombic
**Theoretical density**: 8.2 Mg/m³
**Space-group type**: Cmcm, No. 63

It comes down to run one, which is 13 meV per atom more stable than the next structure.